(1)
This record from Alexandria via LeMat-Bulk describes a relaxed structure of CrFe4Tc2. The functional is PBE.

## Properties
**Crystal system**: orthorhombic
**Calculated formation energy**: 0.1507 eV/atom

Unit cell a=4.638 b=4.638 c=4.787 alpha=90.00 beta=90.00 gamma=119.46
Fractional positions:
Cr 0.000 0.000 0.000
Fe 0.000 0.500 0.000
Fe 0.167 0.833 0.500
Fe 0.500 0.000 0.000
Fe 0.833 0.167 0.500
Tc 0.500 0.500 0.260
Tc 0.500 0.500 0.740

---

(2)
This record from Alexandria via LeMat-Bulk describes a relaxed structure of LaPm2Pr6Dy. The functional is PBE.

## Properties
**Crystal system**: monoclinic
**Calculated formation energy**: 0.1081 eV/atom

Unit cell a=9.055 b=9.055 c=9.963 alpha=94.19 beta=94.19 gamma=117.72
Fractional positions:
La 0.021 0.979 0.750
La 0.979 0.021 0.250
Pm 0.196 0.295 0.545
Pm 0.295 0.196 0.045
Pm 0.705 0.804 0.955
Pm 0.804 0.705 0.455
Pr 0.013 0.567 0.687
Pr 0.117 0.748 0.054
Pr 0.252 0.883 0.446
Pr 0.298 0.506 0.882
Pr 0.433 0.987 0.813
Pr 0.494 0.702 0.618
Pr 0.506 0.298 0.382
Pr 0.567 0.013 0.187
Pr 0.702 0.494 0.118
Pr 0.748 0.117 0.554
Pr 0.883 0.252 0.946
Pr 0.987 0.433 0.313
Dy 0.408 0.592 0.250
Dy 0.592 0.408 0.750

---

(3)
This record from Alexandria via LeMat-Bulk describes a relaxed structure of Ga2BiPt. The functional is PBE.

## Properties
**Crystal system**: tetragonal
**Calculated formation energy**: -0.1728 eV/atom

Unit cell a=9.054 b=9.054 c=9.054 alpha=150.16 beta=150.16 gamma=42.71
Fractional positions:
Ga 0.020 0.625 0.895
Ga 0.375 0.270 0.395
Ga 0.730 0.125 0.105
Ga 0.875 0.980 0.605
Bi 0.250 0.750 0.500
Bi 0.500 0.500 0.000
Pt 0.000 0.000 0.000
Pt 0.750 0.250 0.500

---

(4)
This record from Alexandria via LeMat-Bulk describes a relaxed structure of UGe2Au. The functional is PBE.

## Properties
**Crystal system**: tetragonal
**Calculated formation energy**: 0.1272 eV/atom

Unit cell a=2.860 b=2.860 c=9.339 alpha=90.00 beta=90.00 gamma=90.00
Fractional positions:
U 0.000 0.000 0.000
Ge 0.500 0.500 0.252
Ge 0.500 0.500 0.748
Au 0.000 0.000 0.500

---

(5)
This record from Alexandria via LeMat-Bulk describes a relaxed structure of MnPH2. The functional is PBE.

## Properties
**Crystal system**: hexagonal

Unit cell a=2.606 b=2.606 c=5.310 alpha=90.00 beta=90.00 gamma=120.00
Fractional positions:
Mn 0.000 0.000 0.000
P 0.000 0.000 0.500
H 0.667 0.333 0.168
H 0.667 0.333 0.832

---

(6)
This record from Alexandria via LeMat-Bulk describes a relaxed structure of UGaMo. The functional is PBE.

## Properties
**Crystal system**: hexagonal
**Calculated formation energy**: 0.1026 eV/atom

Unit cell a=4.823 b=4.823 c=2.704 alpha=90.00 beta=90.00 gamma=120.00
Fractional positions:
U 0.000 0.000 0.000
Ga 0.667 0.333 0.500
Mo 0.333 0.667 0.500

---

(7)
This record from Alexandria via LeMat-Bulk describes a relaxed structure of K2As3O9. The functional is PBE.

## Properties
**Raw formation energy**: -1.17 eV/atom
**Crystal system**: monoclinic

Unit cell a=8.629 b=8.629 c=8.502 alpha=103.54 beta=103.54 gamma=117.78
Fractional positions:
K 0.060 0.744 0.689
K 0.256 0.940 0.311
K 0.744 0.060 0.689
K 0.940 0.256 0.311
As 0.225 0.449 0.814
As 0.320 0.320 0.130
As 0.449 0.225 0.814
As 0.551 0.775 0.186
As 0.680 0.680 0.870
As 0.775 0.551 0.186
O 0.026 0.403 0.668
O 0.144 0.320 0.954
O 0.201 0.201 0.233
O 0.248 0.248 0.708
O 0.320 0.144 0.954
O 0.323 0.677 0.000
O 0.403 0.026 0.668
O 0.406 0.577 0.248
O 0.423 0.594 0.752
O 0.577 0.406 0.248
O 0.594 0.423 0.752
O 0.597 0.974 0.332
O 0.677 0.323 0.000
O 0.680 0.856 0.046
O 0.752 0.752 0.292
O 0.799 0.799 0.767
O 0.856 0.680 0.046
O 0.974 0.597 0.332

---

(8)
This record from Alexandria via LeMat-Bulk describes a relaxed structure of TaPCl2F. The functional is PBE.

## Properties
**Raw formation energy**: -0.42 eV/atom
**Crystal system**: tetragonal

Unit cell a=4.746 b=4.746 c=4.897 alpha=90.00 beta=90.00 gamma=90.00
Fractional positions:
Ta 0.000 0.000 0.000
P 0.000 0.000 0.500
Cl 0.000 0.500 0.000
Cl 0.500 0.000 0.000
F 0.500 0.500 0.500

---

(9)
This record from Alexandria via LeMat-Bulk describes a relaxed structure of LiPaPb2S5. The functional is PBE.

## Properties
**Raw formation energy**: -1.07 eV/atom
**Crystal system**: orthorhombic

Unit cell a=8.938 b=8.938 c=13.050 alpha=90.00 beta=90.00 gamma=153.71
Fractional positions:
Li 0.062 0.938 0.500
Li 0.938 0.062 0.000
Pa 0.280 0.720 0.073
Pa 0.720 0.280 0.573
Pb 0.398 0.602 0.334
Pb 0.410 0.590 0.692
Pb 0.590 0.410 0.192
Pb 0.602 0.398 0.834
S 0.007 0.993 0.328
S 0.130 0.870 0.044
S 0.203 0.797 0.446
S 0.237 0.763 0.707
S 0.428 0.572 0.108
S 0.572 0.428 0.608
S 0.763 0.237 0.207
S 0.797 0.203 0.946
S 0.870 0.130 0.544
S 0.993 0.007 0.828

---

(10)
This record from Alexandria via LeMat-Bulk describes a relaxed structure of LaPu2Mn. The functional is PBE.

## Properties
**Crystal system**: tetragonal
**Calculated formation energy**: 0.1546 eV/atom

Unit cell a=3.434 b=3.434 c=8.418 alpha=90.00 beta=90.00 gamma=90.00
Fractional positions:
La 0.000 0.000 0.000
Pu 0.500 0.500 0.311
Pu 0.500 0.500 0.689
Mn 0.000 0.000 0.500

---

(11)
This record from Alexandria via LeMat-Bulk describes a relaxed structure of PmTm4Co4. The functional is PBE.

## Properties
**Crystal system**: tetragonal
**Calculated formation energy**: -0.0715 eV/atom

Unit cell a=8.418 b=8.418 c=5.471 alpha=90.00 beta=90.00 gamma=90.00
Fractional positions:
Pm 0.250 0.250 0.250
Pm 0.750 0.750 0.750
Tm 0.068 0.670 0.134
Tm 0.170 0.932 0.634
Tm 0.330 0.568 0.634
Tm 0.432 0.830 0.134
Tm 0.568 0.170 0.866
Tm 0.670 0.432 0.366
Tm 0.830 0.068 0.366
Tm 0.932 0.330 0.866
Co 0.018 0.610 0.621
Co 0.110 0.982 0.121
Co 0.390 0.518 0.121
Co 0.482 0.890 0.621
Co 0.518 0.110 0.379
Co 0.610 0.482 0.879
Co 0.890 0.018 0.879
Co 0.982 0.390 0.379

---

Number 1: electronic total energy -9.022 eV per atom. Number 2: electronic total energy -4.663 eV per atom. Number 3: electronic total energy -4.167 eV per atom. Number 4: electronic total energy -5.823 eV per atom. Number 5: electronic total energy -5.058 eV per atom. Number 6: electronic total energy -8.279 eV per atom. Number 7: electronic total energy -5.510 eV per atom. Number 8: electronic total energy -4.986 eV per atom. Number 9: electronic total energy -5.450 eV per atom. Number 10: electronic total energy -10.536 eV per atom. Number 11: electronic total energy -5.745 eV per atom.